Compound: CdSi2
Source: OQMD via LeMat-Bulk
Functional: PBE-GGA
Structure: optimized geometry

Cell: 5.333 5.333 5.333 Å, 60.00 60.00 60.00°
Sites, in units of the cell vectors:
Cd  0.000  0.000  0.000
Si  0.625  0.625  0.625
Cd  0.250  0.250  0.250
Si  0.125  0.625  0.625
Si  0.625  0.125  0.625
Si  0.625  0.625  0.125

Its space group is Fd-3m, No. 227. The energy above the most stable polymorph in this dataset is 11 meV per atom. For the calculated total energy, the calculation gives -3.437 eV per atom.

Compound: Cd2Si
Source: OQMD via LeMat-Bulk
Functional: PBE-GGA
Structure: optimized geometry

Cell: 8.076 8.076 8.076 Å, 60.00 60.00 60.00°
Sites, in units of the cell vectors:
Si  0.500  0.500  0.500
Cd  0.375  0.875  0.375
Cd  0.875  0.375  0.375
Cd  0.375  0.375  0.375
Cd  0.375  0.375  0.875
Si  0.250  0.250  0.250

Its space group is Fd-3m, No. 227. For the calculated total energy, the calculation gives -2.028 eV per atom.

Compound: Cd5Si3
Source: OQMD via LeMat-Bulk
Functional: PBE-GGA
Structure: optimized geometry

Cell: 8.245 8.245 8.245 Å, 96.24 96.24 141.51°
Sites, in units of the cell vectors:
Si  0.750  0.750  0.000
Cd  0.750  0.250  0.500
Cd  0.772  0.073  0.844
Cd  0.228  0.927  0.156
Cd  0.272  0.427  0.699
Si  0.172  0.672  0.843
Si  0.828  0.328  0.157
Si  0.672  0.828  0.500
Cd  0.073  0.228  0.301
Si  0.328  0.172  0.500
Cd  0.250  0.750  0.500
Si  0.250  0.250  0.000
Cd  0.927  0.772  0.699
Cd  0.573  0.272  0.844
Cd  0.728  0.573  0.301
Cd  0.427  0.728  0.156

Its space group is I4/mcm, No. 140. For the calculated total energy, the calculation gives -2.212 eV per atom.